#P
First-principles (GGA-PBE) data for a geometry-optimized Pm2MgTl structure, as listed in Alexandria via LeMat-Bulk.

Calculated values
- V: 115.59 Å³ per cell
- SG: No. 225

a b c (Å): 5.468 5.468 5.468
angles (deg): 60.00 60.00 60.00
Element x y z (fractional)
Tl (0.000, 0.000, 0.000)
Mg (0.500, 0.500, 0.500)
Pm (0.250, 0.250, 0.250)
Pm (0.750, 0.750, 0.750)

#Q
First-principles (GGA-PBE) data for a geometry-optimized Pm2MgTl structure, as listed in Alexandria via LeMat-Bulk.

Calculated values
- V: 136.99 Å³ per cell
- SG: No. 160

a b c (Å): 5.040 5.040 6.873
angles (deg): 68.49 68.49 60.00
Element x y z (fractional)
Pm (0.070, 0.070, 0.790)
Pm (0.267, 0.267, 0.199)
Mg (0.491, 0.491, 0.528)
Tl (0.672, 0.672, 0.983)

Most stable: #P (next structure +358 meV per atom)

#P
First-principles (GGA-PBE) data for a geometry-optimized Pm8Mg2Tl structure, as listed in Alexandria via LeMat-Bulk.

Calculated values
- V: 341.41 Å³ per cell
- SG: No. 12

a b c (Å): 5.014 8.192 9.170
angles (deg): 108.78 105.86 90.00
Element x y z (fractional)
Pm (0.408, 0.555, 0.817)
Pm (0.680, 0.934, 0.361)
Pm (0.863, 0.809, 0.727)
Pm (0.946, 0.275, 0.891)
Pm (0.137, 0.191, 0.273)
Pm (0.320, 0.066, 0.639)
Pm (0.592, 0.445, 0.183)
Pm (0.054, 0.725, 0.109)
Mg (0.773, 0.368, 0.546)
Mg (0.227, 0.632, 0.454)
Tl (0.500, 0.000, 0.000)

#Q
First-principles (GGA-PBE) data for a geometry-optimized Pm8Mg2Tl structure, as listed in Alexandria via LeMat-Bulk.

Calculated values
- V: 348.04 Å³ per cell
- SG: No. 12

a b c (Å): 5.512 8.803 8.820
angles (deg): 119.40 108.21 90.00
Element x y z (fractional)
Pm (0.590, 0.449, 0.181)
Pm (0.318, 0.054, 0.637)
Pm (0.137, 0.184, 0.273)
Pm (0.069, 0.720, 0.138)
Pm (0.863, 0.816, 0.727)
Pm (0.682, 0.946, 0.363)
Pm (0.410, 0.551, 0.819)
Pm (0.931, 0.280, 0.862)
Mg (0.229, 0.615, 0.458)
Mg (0.771, 0.385, 0.542)
Tl (0.500, 0.000, 0.000)

Most stable: #Q (next structure +29 meV per atom)

#P
First-principles (GGA-PBE) data for a geometry-optimized PmTm2Mg structure, as listed in Alexandria via LeMat-Bulk.

Calculated values
- V: 119.63 Å³ per cell
- SG: No. 8

a b c (Å): 3.485 3.485 11.589
angles (deg): 79.31 79.31 60.48
Element x y z (fractional)
Pm (0.662, 0.662, 0.000)
Tm (0.104, 0.104, 0.744)
Tm (0.220, 0.220, 0.256)
Mg (0.513, 0.513, 0.500)

#Q
First-principles (GGA-PBE) data for a geometry-optimized PmTm2Mg structure, as listed in Alexandria via LeMat-Bulk.

Calculated values
- V: 124.96 Å³ per cell
- SG: No. 166

a b c (Å): 3.438 3.438 12.365
angles (deg): 82.01 82.01 60.00
Element x y z (fractional)
Mg (0.000, 0.000, 0.000)
Tm (0.088, 0.088, 0.735)
Tm (0.912, 0.912, 0.265)
Pm (0.500, 0.500, 0.500)

Most stable: #P (next structure +166 meV per atom)

#P
First-principles (GGA-PBE) data for a geometry-optimized PmTm2Mg structure, as listed in Alexandria via LeMat-Bulk.

Calculated values
- V: 117.24 Å³ per cell
- SG: No. 225

a b c (Å): 5.494 5.494 5.494
angles (deg): 60.00 60.00 60.00
Last column: magnetic moment on the atom in μB.
Element x y z (fractional)
Mg (0.500, 0.500, 0.500)  0.00
Tm (0.250, 0.250, 0.250)  0.08
Tm (0.750, 0.750, 0.750)  0.08
Pm (0.000, 0.000, 0.000)  0.11

#Q
First-principles (GGA-PBE) data for a geometry-optimized PmTm2Mg structure, as listed in Alexandria via LeMat-Bulk.

Calculated values
- V: 117.91 Å³ per cell
- SG: No. 123

a b c (Å): 3.590 3.590 9.147
angles (deg): 90.00 90.00 90.00
Element x y z (fractional)
Mg (0.500, 0.500, 0.000)
Tm (0.000, 0.000, 0.771)
Tm (0.000, 0.000, 0.229)
Pm (0.500, 0.500, 0.500)

Most stable: #Q (next structure +124 meV per atom)

#P
First-principles (GGA-PBE) data for a geometry-optimized PmTm2Mg structure, as listed in Alexandria via LeMat-Bulk.

Calculated values
- V: 236.57 Å³ per cell
- SG: No. 139

a b c (Å): 5.049 5.049 9.940
angles (deg): 104.69 104.69 90.02
Element x y z (fractional)
Pm (0.372, 0.372, 0.244)
Pm (0.628, 0.628, 0.756)
Tm (0.868, 0.868, 0.235)
Tm (0.132, 0.132, 0.765)
Tm (0.500, 0.000, 0.500)
Tm (0.000, 0.500, 0.500)
Mg (0.250, 0.750, 0.000)
Mg (0.750, 0.250, 0.000)

#Q
First-principles (GGA-PBE) data for a geometry-optimized PmTm2Mg structure, as listed in Alexandria via LeMat-Bulk.

Calculated values
- V: 118.01 Å³ per cell
- SG: No. 123

a b c (Å): 4.955 4.880 4.880
angles (deg): 90.00 90.00 90.00
Element x y z (fractional)
Mg (0.500, 0.000, 0.000)
Tm (0.000, 0.000, 0.500)
Tm (0.000, 0.500, 0.000)
Pm (0.500, 0.500, 0.500)

Most stable: #P (next structure +52 meV per atom)

#P
First-principles (GGA-PBE) data for a geometry-optimized Pm2Tm8Mg structure, as listed in Alexandria via LeMat-Bulk.

Calculated values
- V: 344.65 Å³ per cell
- SG: No. 71

a b c (Å): 5.471 7.434 9.649
angles (deg): 112.66 106.47 90.00
Element x y z (fractional)
Pm (0.194, 0.694, 0.388)
Pm (0.806, 0.306, 0.612)
Tm (0.638, 0.871, 0.276)
Tm (0.362, 0.595, 0.724)
Tm (0.178, 0.178, 0.355)
Tm (0.000, 0.257, 0.000)
Tm (0.822, 0.822, 0.645)
Tm (0.638, 0.405, 0.276)
Tm (0.362, 0.129, 0.724)
Tm (0.000, 0.743, 0.000)
Mg (0.500, 0.000, 0.000)

#Q
First-principles (GGA-PBE) data for a geometry-optimized Pm2Tm8Mg structure, as listed in Alexandria via LeMat-Bulk.

Calculated values
- V: 341.08 Å³ per cell
- SG: No. 12

a b c (Å): 6.587 9.900 9.900
angles (deg): 38.51 60.04 60.04
Element x y z (fractional)
Pm (0.578, 0.813, 0.813)
Pm (0.422, 0.187, 0.187)
Tm (0.226, 0.341, 0.822)
Tm (0.774, 0.178, 0.659)
Tm (0.176, 0.754, 0.754)
Tm (0.824, 0.246, 0.246)
Tm (0.226, 0.822, 0.341)
Tm (0.774, 0.659, 0.178)
Tm (0.729, 0.593, 0.593)
Tm (0.271, 0.407, 0.407)
Mg (0.000, 0.000, 0.000)

Most stable: #P (next structure +35 meV per atom)

#P
First-principles (GGA-PBE) data for a geometry-optimized PmTmMg structure, as listed in Alexandria via LeMat-Bulk.

Calculated values
- V: 87.86 Å³ per cell
- SG: No. 156

a b c (Å): 3.405 5.459 5.459
angles (deg): 120.00 90.00 90.00
Element x y z (fractional)
Mg (0.316, 0.333, 0.667)
Tm (0.058, 0.000, 0.000)
Pm (0.626, 0.667, 0.333)

#Q
First-principles (GGA-PBE) data for a geometry-optimized PmTmMg structure, as listed in Alexandria via LeMat-Bulk.

Calculated values
- V: 176.63 Å³ per cell
- SG: No. 26

a b c (Å): 5.449 3.434 10.900
angles (deg): 89.99 60.00 90.00
Element x y z (fractional)
Pm (0.900, 0.142, 0.742)
Pm (0.555, 0.142, 0.587)
Tm (0.215, 0.642, 0.927)
Tm (0.239, 0.642, 0.402)
Mg (0.896, 0.141, 0.245)
Mg (0.558, 0.142, 0.084)

Most stable: #Q (next structure +16 meV per atom)

#P
First-principles (GGA-PBE) data for a geometry-optimized PmTmMg structure, as listed in Alexandria via LeMat-Bulk.

Calculated values
- V: 200.61 Å³ per cell
- SG: No. 47

a b c (Å): 6.481 6.481 5.325
angles (deg): 90.00 90.00 63.75
Element x y z (fractional)
Pm (0.750, 0.250, 0.500)
Pm (0.250, 0.750, 0.500)
Tm (0.500, 0.000, 0.000)
Tm (0.000, 0.500, 0.000)
Mg (0.750, 0.750, 0.500)
Mg (0.250, 0.250, 0.500)

#Q
First-principles (GGA-PBE) data for a geometry-optimized PmTmMg structure, as listed in Alexandria via LeMat-Bulk.

Calculated values
- V: 182.58 Å³ per cell
- SG: No. 129

a b c (Å): 4.660 4.660 8.407
angles (deg): 90.00 90.00 90.00
Element x y z (fractional)
Tm (0.000, 0.500, 0.746)
Tm (0.500, 0.000, 0.254)
Mg (0.500, 0.500, 0.000)
Mg (0.000, 0.000, 0.000)
Pm (0.500, 0.000, 0.660)
Pm (0.000, 0.500, 0.340)

#R
First-principles (GGA-PBE) data for a geometry-optimized PmTmMg structure, as listed in Alexandria via LeMat-Bulk.

Calculated values
- V: 88.12 Å³ per cell
- SG: No. 107

a b c (Å): 3.619 3.619 7.200
angles (deg): 104.55 104.55 90.00
Last column: magnetic moment on the atom in μB.
Element x y z (fractional)
Mg (0.663, 0.663, 0.325)  0.00
Tm (0.008, 0.008, 0.016)  0.08
Pm (0.329, 0.329, 0.659)  0.04

Most stable: #R (next structure +248 meV per atom)

#P
First-principles (GGA-PBE) data for a geometry-optimized PmTm2Mg4 structure, as listed in Alexandria via LeMat-Bulk.

Calculated values
- V: 209.61 Å³ per cell
- SG: No. 65

a b c (Å): 5.489 5.948 7.075
angles (deg): 114.86 90.00 90.00
Element x y z (fractional)
Pm (0.000, 0.500, 0.000)
Tm (0.500, 0.131, 0.261)
Tm (0.500, 0.869, 0.739)
Mg (0.500, 0.623, 0.246)
Mg (0.000, 0.752, 0.505)
Mg (0.500, 0.377, 0.754)
Mg (0.000, 0.248, 0.495)

#Q
First-principles (GGA-PBE) data for a geometry-optimized PmTm2Mg4 structure, as listed in Alexandria via LeMat-Bulk.

Calculated values
- V: 195.32 Å³ per cell
- SG: No. 65

a b c (Å): 3.514 7.480 7.480
angles (deg): 83.43 90.00 90.00
Element x y z (fractional)
Pm (0.500, 0.500, 0.500)
Tm (0.000, 0.806, 0.194)
Tm (0.000, 0.194, 0.806)
Mg (0.000, 0.760, 0.760)
Mg (0.000, 0.240, 0.240)
Mg (0.500, 0.000, 0.500)
Mg (0.500, 0.500, 0.000)

Most stable: #Q (next structure +282 meV per atom)

#P
First-principles (GGA-PBE) data for a geometry-optimized Pm4Tm2Mg structure, as listed in Alexandria via LeMat-Bulk.

Calculated values
- V: 233.50 Å³ per cell
- SG: No. 10

a b c (Å): 3.651 5.921 11.570
angles (deg): 111.00 90.00 90.00
Element x y z (fractional)
Pm (0.500, 0.188, 0.252)
Pm (0.500, 0.812, 0.748)
Pm (0.000, 0.341, 0.794)
Pm (0.000, 0.659, 0.206)
Tm (0.000, 0.500, 0.500)
Tm (0.500, 0.000, 0.500)
Mg (0.000, 0.000, 0.000)

#Q
First-principles (GGA-PBE) data for a geometry-optimized Pm4Tm2Mg structure, as listed in Alexandria via LeMat-Bulk.

Calculated values
- V: 457.67 Å³ per cell
- SG: No. 74

a b c (Å): 6.800 8.887 8.887
angles (deg): 78.69 67.51 67.51
Element x y z (fractional)
Pm (0.155, 0.358, 0.332)
Pm (0.155, 0.832, 0.858)
Pm (0.232, 0.241, 0.741)
Pm (0.786, 0.241, 0.741)
Pm (0.214, 0.759, 0.259)
Pm (0.845, 0.168, 0.142)
Pm (0.768, 0.759, 0.259)
Pm (0.845, 0.642, 0.668)
Tm (0.283, 0.967, 0.467)
Tm (0.500, 0.000, 0.000)
Tm (0.500, 0.500, 0.500)
Tm (0.717, 0.033, 0.533)
Mg (0.000, 0.500, 0.000)
Mg (0.500, 0.500, 0.000)

Most stable: #P (next structure +72 meV per atom)

#P
First-principles (GGA-PBE) data for a geometry-optimized Pm5Tm2Mg structure, as listed in Alexandria via LeMat-Bulk.

Calculated values
- V: 254.15 Å³ per cell
- SG: No. 139

a b c (Å): 7.154 7.154 7.089
angles (deg): 120.31 120.31 90.00
Element x y z (fractional)
Pm (0.722, 0.222, 0.944)
Pm (0.222, 0.222, 0.944)
Pm (0.722, 0.722, 0.944)
Pm (0.222, 0.722, 0.944)
Pm (0.722, 0.722, 0.444)
Tm (0.222, 0.722, 0.444)
Tm (0.722, 0.222, 0.444)
Mg (0.222, 0.222, 0.445)

#Q
First-principles (GGA-PBE) data for a geometry-optimized Pm5Tm2Mg structure, as listed in Alexandria via LeMat-Bulk.

Calculated values
- V: 256.92 Å³ per cell
- SG: No. 42

a b c (Å): 7.217 7.219 6.740
angles (deg): 105.59 105.58 119.89
Element x y z (fractional)
Pm (0.237, 0.319, 0.501)
Pm (0.326, 0.748, 0.000)
Pm (0.808, 0.229, 0.000)
Pm (0.736, 0.819, 0.499)
Pm (0.326, 0.229, 0.000)
Tm (0.227, 0.815, 0.487)
Tm (0.741, 0.328, 0.513)
Mg (0.821, 0.734, 0.000)

Most stable: #Q (next structure +16 meV per atom)

#P
First-principles (GGA-PBE) data for a geometry-optimized PmTmMg3 structure, as listed in Alexandria via LeMat-Bulk.

Calculated values
- V: 580.46 Å³ per cell
- SG: No. 15

a b c (Å): 3.540 13.495 13.495
angles (deg): 65.96 81.90 81.90
Element x y z (fractional)
Pm (0.978, 0.360, 0.144)
Pm (0.478, 0.144, 0.360)
Pm (0.522, 0.856, 0.640)
Pm (0.022, 0.640, 0.856)
Tm (0.250, 0.699, 0.301)
Tm (0.250, 0.100, 0.900)
Tm (0.750, 0.301, 0.699)
Tm (0.750, 0.900, 0.100)
Mg (0.620, 0.202, 0.043)
Mg (0.120, 0.043, 0.202)
Mg (0.880, 0.957, 0.798)
Mg (0.380, 0.798, 0.957)
Mg (0.851, 0.297, 0.457)
Mg (0.351, 0.457, 0.297)
Mg (0.649, 0.543, 0.703)
Mg (0.149, 0.703, 0.543)
Mg (0.874, 0.631, 0.124)
Mg (0.374, 0.124, 0.631)
Mg (0.626, 0.876, 0.369)
Mg (0.126, 0.369, 0.876)

#Q
First-principles (GGA-PBE) data for a geometry-optimized PmTmMg3 structure, as listed in Alexandria via LeMat-Bulk.

Calculated values
- V: 300.45 Å³ per cell
- SG: No. 148

a b c (Å): 7.247 7.247 7.247
angles (deg): 65.34 65.34 65.34
Element x y z (fractional)
Pm (0.406, 0.406, 0.406)
Pm (0.594, 0.594, 0.594)
Tm (0.093, 0.093, 0.093)
Tm (0.907, 0.907, 0.907)
Mg (0.236, 0.029, 0.479)
Mg (0.479, 0.236, 0.029)
Mg (0.029, 0.479, 0.236)
Mg (0.764, 0.971, 0.521)
Mg (0.971, 0.521, 0.764)
Mg (0.521, 0.764, 0.971)

Most stable: #P (next structure +250 meV per atom)